# GGA-PBE KPdSe2O8, relaxed
data_KPdSe2O8
_chemical_formula_sum 'K1 Pd1 Se2 O8'
_space_group_name_H-M_alt 'P 1'
_space_group_IT_number 1
_cell_length_a 5.027
_cell_length_b 5.027
_cell_length_c 9.122
_cell_angle_alpha 74.00
_cell_angle_beta 74.00
_cell_angle_gamma 60.00
loop_
_space_group_symop_operation_xyz
'x,y,z'
loop_
_atom_site_label
_atom_site_type_symbol
_atom_site_fract_x
_atom_site_fract_y
_atom_site_fract_z
Pd1 Pd 0.000 0.000 0.000
K1 K 0.500 0.500 0.500
O1 O 0.800 0.800 0.600
O2 O 0.200 0.200 0.400
O3 O 0.609 0.278 0.148
O4 O 0.722 0.035 0.852
O5 O 0.278 0.965 0.148
O6 O 0.965 0.609 0.148
O7 O 0.391 0.722 0.852
O8 O 0.035 0.391 0.852
Se1 Se 0.736 0.736 0.791
Se2 Se 0.264 0.264 0.209
# * N(E_F): 0.488 states/eV/atom
# * formation energy from raw total energies: -0.711 eV per atom
# * uncorrected energy: -5.1216 eV/atom